## MoIrNO2 (PBE with a Hubbard U)

Data for a relaxed structure of MoIrNO2.

extended XYZ file:
```
5
Lattice="-1.4538 2.7485 -2.3034 0.3059 -2.3814 -3.0346 -3.8052 -1.4081 0.7215" Properties=species:S:1:pos:R:3 pbc="T T T"
Ir -2.4766 -0.5205 -2.3083
Mo 0.0000 0.0000 0.0000
N -1.9026 -0.7040 0.3607
O 0.1529 -1.1907 -1.5173
O -0.7269 1.3742 -1.1517
```

Properties
Total energy (eV/atom): -6.34
Calculated density (kg/m3): 8992
Total moment (μB per cell): 2.88